[1]
First-principles (PBE) data for a geometry-optimized Al5CdS8 structure, as listed in the Alexandria database.

CIF file:
```
data_Al5CdS8
_chemical_formula_sum 'Al20 Cd4 S32'
_cell_length_a 10.2400
_cell_length_b 10.2400
_cell_length_c 10.2400
_cell_angle_alpha 90.00
_cell_angle_beta 90.00
_cell_angle_gamma 90.00
_space_group_name_H-M_alt 'F -4 3 m'
_space_group_IT_number 216
_space_group_name_Hall 'F -4 2 3'
loop_
_atom_site_label
_atom_site_type_symbol
_atom_site_fract_x
_atom_site_fract_y
_atom_site_fract_z
Al1 Al 0.0000 0.0000 0.0000
Al2 Al 0.1227 0.1227 0.6227
Cd1 Cd 0.2500 0.2500 0.2500
S1 S 0.1113 0.1113 0.3887
S2 S 0.1328 0.1328 0.8672
```

Properties
Raw formation energy in kJ/mol of atoms: -88.06
M_tot in μB per formula unit: 0.000
Energy in eV per cell: -261.70

[2]
First-principles (PBE) data for a geometry-optimized Nd3Dy4Tm8 structure, as listed in the Alexandria database.

CIF file:
```
data_Nd3Dy4Tm8
_chemical_formula_sum 'Nd6 Dy8 Tm16'
_cell_length_a 13.2893
_cell_length_b 12.8174
_cell_length_c 6.6852
_cell_angle_alpha 90.00
_cell_angle_beta 120.10
_cell_angle_gamma 90.00
_space_group_name_H-M_alt 'C 1 2/m 1'
_space_group_IT_number 12
loop_
_space_group_symop_operation_xyz
'x,y,z'
'-x,-y,-z'
'-x,y,-z'
'x,-y,z'
'x+1/2,y+1/2,z'
'-x+1/2,-y+1/2,-z'
'-x+1/2,y+1/2,-z'
'x+1/2,-y+1/2,z'
loop_
_atom_site_label
_atom_site_type_symbol
_atom_site_fract_x
_atom_site_fract_y
_atom_site_fract_z
Nd1 Nd 0.0000 0.0000 0.0000
Nd2 Nd 0.2500 0.2500 0.0000
Dy1 Dy 0.0000 0.5000 0.0000
Dy2 Dy 0.0000 0.5000 0.5000
Dy3 Dy 0.2500 0.2500 0.5000
Tm1 Tm 0.0000 0.1386 0.5000
Tm2 Tm 0.0000 0.2472 0.0000
Tm3 Tm 0.2345 0.0000 0.9723
Tm4 Tm 0.2362 0.0000 0.4944
```

Properties
M_tot in μB per formula unit: 0.002
Energy in eV per cell: -125.05
Formation enthalpy at 0 K in eV per atom: 0.397

[3]
First-principles (PBE) data for a geometry-optimized Tb3AsPN structure, as listed in the Alexandria database.

CIF file:
```
data_Tb3AsPN
_chemical_formula_sum 'Tb6 As2 P2 N2'
_cell_length_a 8.3235
_cell_length_b 4.0162
_cell_length_c 8.9981
_cell_angle_alpha 90.00
_cell_angle_beta 98.78
_cell_angle_gamma 90.00
_space_group_name_H-M_alt 'P 1 21/m 1'
_space_group_IT_number 11
loop_
_space_group_symop_operation_xyz
'x,y,z'
'-x,-y,-z'
'-x,y+1/2,-z'
'x,-y+1/2,z'
loop_
_atom_site_label
_atom_site_type_symbol
_atom_site_fract_x
_atom_site_fract_y
_atom_site_fract_z
Tb1 Tb 0.0977 0.2500 0.3567
Tb2 Tb 0.3371 0.2500 0.9954
Tb3 Tb 0.3896 0.7500 0.6621
As1 As 0.3309 0.7500 0.2991
P1 P 0.1451 0.2500 0.6642
N1 N 0.4049 0.7500 0.9036
```

Properties
Raw formation energy in kJ/mol of atoms: -135.01
M_tot in μB per formula unit: 0.000
Energy in eV per cell: -81.34

[4]
First-principles (PBE) data for a geometry-optimized Tb5Y2Er3 structure, as listed in the Alexandria database.

CIF file:
```
data_Tb5Y2Er3
_chemical_formula_sum 'Tb20 Y8 Er12'
_cell_length_a 9.3302
_cell_length_b 21.7743
_cell_length_c 6.7377
_cell_angle_alpha 90.00
_cell_angle_beta 90.00
_cell_angle_gamma 90.00
_space_group_name_H-M_alt 'I b a m'
_space_group_IT_number 72
_space_group_name_Hall '-I 2 2c'
loop_
_atom_site_label
_atom_site_type_symbol
_atom_site_fract_x
_atom_site_fract_y
_atom_site_fract_z
Tb1 Tb 0.0000 0.0000 0.2500
Tb2 Tb 0.0000 0.2484 0.2500
Tb3 Tb 0.0928 0.1233 0.0000
Y1 Y 0.0936 0.3741 0.5000
Er1 Er 0.0000 0.5000 0.2500
Er2 Er 0.2494 0.3775 0.0000
```

Properties
M_tot in μB per formula unit: 0.000
Energy in eV per cell: -182.33
Formation enthalpy at 0 K in eV per atom: 0.419

[5]
First-principles (PBE) data for a geometry-optimized Sc3CdTc structure, as listed in the Alexandria database.

CIF file:
```
data_Sc3CdTc
_chemical_formula_sum 'Sc3 Cd1 Tc1'
_cell_length_a 5.0226
_cell_length_b 5.0226
_cell_length_c 5.0226
_cell_angle_alpha 90.00
_cell_angle_beta 90.00
_cell_angle_gamma 90.00
_space_group_name_H-M_alt 'P m -3 m'
_space_group_IT_number 221
_space_group_name_Hall '-P 4 2 3'
loop_
_atom_site_label
_atom_site_type_symbol
_atom_site_fract_x
_atom_site_fract_y
_atom_site_fract_z
Sc1 Sc 0.0000 0.0000 0.5000
Cd1 Cd 0.5000 0.5000 0.5000
Tc1 Tc 0.0000 0.0000 0.0000
```

Properties
M_tot in μB per formula unit: 0.000
Energy in eV per cell: -29.79
Formation enthalpy at 0 K in eV per atom: 0.098

[6]
First-principles (PBE) data for a geometry-optimized Nd3Ru structure, as listed in the Alexandria database.

CIF file:
```
data_Nd3Ru
_chemical_formula_sum 'Nd6 Ru2'
_cell_length_a 3.7553
_cell_length_b 10.9142
_cell_length_c 5.6604
_cell_angle_alpha 90.00
_cell_angle_beta 90.00
_cell_angle_gamma 90.00
_space_group_name_H-M_alt 'I m m 2'
_space_group_IT_number 44
loop_
_space_group_symop_operation_xyz
'x,y,z'
'-x,-y,z'
'-x,y,z'
'x,-y,z'
'x+1/2,y+1/2,z+1/2'
'-x+1/2,-y+1/2,z+1/2'
'-x+1/2,y+1/2,z+1/2'
'x+1/2,-y+1/2,z+1/2'
loop_
_atom_site_label
_atom_site_type_symbol
_atom_site_fract_x
_atom_site_fract_y
_atom_site_fract_z
Nd1 Nd 0.0000 0.0000 0.0000
Nd2 Nd 0.0000 0.1944 0.4967
Ru1 Ru 0.0000 0.5000 0.9373
```

Properties
M_tot in μB per formula unit: 0.000
Energy in eV per cell: -47.86
Formation enthalpy at 0 K in eV per atom: -0.088